A plane-wave DFT calculation with PBE was carried out for crystalline TiNbIn2 at its relaxed geometry.

## Properties
N(E_F)	8.26	states/eV/cell
energy relative to the elements	0.058	eV/atom
excess energy over the best structure of this formula in the dataset	125	meV per atom
raw total energy	-5.802	eV/atom

Lattice parameters (Å, degrees): 5.307 3.093 9.947 90.00 99.83 90.00
Space group Cm (No. 8)
One atom of each set of equivalent atoms:
Ti 0.000 0.000 0.000 (multiplicity 2)
Nb 0.340 0.500 0.501 (multiplicity 2)
In 0.256 0.000 0.752 (multiplicity 2)
In 0.421 0.000 0.249 (multiplicity 2)